[1]
DFT (PBE-GGA) results for AcMgGa2Pd5 after structural relaxation.

Geometry as POSCAR:
```
AcMgGa2Pd5
1.0
4.8000 0.0000 0.0000
0.0000 4.8000 0.0000
0.0000 0.0000 7.5391
Pd Ga Mg Ac
5 2 1 1
Direct
0.5000 0.5000 0.5000
0.0000 0.5000 0.2179
0.0000 0.5000 0.7821
0.5000 0.0000 0.2179
0.5000 0.0000 0.7821
0.5000 0.5000 0.1634
0.5000 0.5000 0.8366
0.0000 0.0000 0.0000
0.0000 0.0000 0.5000
```

E in eV per atom: -4.75
Energy relative to the elements in meV per atom: -557
Total magnetic moment in μB per cell: 0.00

[2]
DFT (PBE-GGA) results for AcMg2Ga2Pd after structural relaxation.

Geometry as POSCAR:
```
AcMg2Ga2Pd
1.0
-2.3888 4.3079 -1.1934
-4.4071 -2.0432 1.4463
4.2746 0.8820 5.3905
Ga Mg Pd Ac
2 2 1 1
Direct
0.7984 0.7984 0.5969
0.2016 0.2016 0.4031
0.7500 0.2500 0.5000
0.2500 0.7500 0.5000
0.0000 0.0000 0.0000
0.5000 0.5000 0.0000
```

E in eV per atom: -3.24
Energy relative to the elements in meV per atom: -154
Total magnetic moment in μB per cell: 0.00

[3]
DFT (PBE-GGA) results for AcMgGa2Pd2 after structural relaxation.

Geometry as POSCAR:
```
AcMgGa2Pd2
1.0
4.4593 0.0000 0.0000
-2.2297 3.8619 0.0000
0.0000 0.0000 7.2985
Mg Ac Pd Ga
1 1 2 2
Direct
0.0000 0.0000 0.5000
0.0000 0.0000 0.0000
0.6667 0.3333 0.3444
0.3333 0.6667 0.6556
0.6667 0.3333 0.7083
0.3333 0.6667 0.2917
```

E in eV per atom: -4.42
Energy relative to the elements in meV per atom: -730
Total magnetic moment in μB per cell: 0.00

[4]
DFT (PBE-GGA) results for AcMgGa2Pd4 after structural relaxation.

Geometry as POSCAR:
```
AcMgGa2Pd4
1.0
4.3778 0.0000 0.0000
2.1889 3.7913 0.0000
2.1889 1.2638 9.0740
Pd Ga Mg Ac
4 2 1 1
Direct
0.5956 0.5956 0.2132
0.4044 0.4044 0.7868
0.8677 0.8677 0.3968
0.1323 0.1323 0.6032
0.2346 0.2346 0.2961
0.7654 0.7654 0.7039
0.5000 0.5000 0.5000
0.0000 0.0000 0.0000
```

E in eV per atom: -4.81
Energy relative to the elements in meV per atom: -742
Total magnetic moment in μB per cell: 0.00

[5]
DFT (PBE-GGA) results for AcMgGaPd after structural relaxation.

Geometry as POSCAR:
```
AcMgGaPd
1.0
4.6764 0.0000 0.0000
-2.3382 4.0516 -0.0054
0.0000 -2.7006 5.2088
Pd Mg Ac Ga
1 1 1 1
Direct
0.8110 0.6221 0.0748
0.1284 0.2568 0.0278
0.6172 0.2344 0.4936
0.4096 0.8193 0.8712
```

E in eV per atom: -4.06
Energy relative to the elements in meV per atom: -582
Total magnetic moment in μB per cell: 0.00
Energy above the most stable polymorph in this dataset in eV per formula unit: 0.00

[6]
DFT (PBE-GGA) results for Ac3Mg2GaPd6 after structural relaxation.

Geometry as POSCAR:
```
Ac3Mg2GaPd6
1.0
5.9789 0.0000 0.0000
-2.9894 5.1778 0.0000
0.0000 0.0000 8.9493
Pd Mg Ac Ga
6 2 3 1
Direct
0.1724 0.3448 0.2870
0.3448 0.1724 0.7130
0.8276 0.6552 0.7130
0.8276 0.1724 0.7130
0.1724 0.8276 0.2870
0.6552 0.8276 0.2870
0.6667 0.3333 0.9593
0.3333 0.6667 0.0407
0.3333 0.6667 0.6234
0.0000 0.0000 0.0000
0.6667 0.3333 0.3766
0.0000 0.0000 0.5000
```

E in eV per atom: -4.81
Energy relative to the elements in meV per atom: -664
Total magnetic moment in μB per cell: 0.00

[7]
DFT (PBE-GGA) results for AcMgGaPd2 after structural relaxation.

Geometry as POSCAR:
```
AcMgGaPd2
1.0
-0.8192 -4.2043 0.1859
2.1400 -0.2531 3.7065
-5.6586 3.3335 1.0149
Ga Pd Mg Ac
1 2 1 1
Direct
0.2500 0.7500 0.5000
0.6177 0.6177 0.2354
0.3823 0.3823 0.7646
0.7500 0.2500 0.5000
0.0000 0.0000 0.0000
```

E in eV per atom: -4.56
Energy relative to the elements in meV per atom: -739
Total magnetic moment in μB per cell: 0.00

[8]
DFT (PBE-GGA) results for Ac2MgGa4Pd3 after structural relaxation.

Geometry as POSCAR:
```
Ac2MgGa4Pd3
1.0
4.4032 0.0000 0.0000
0.0000 4.4032 0.0000
0.0000 0.0000 11.1382
Ga Pd Ac Mg
4 3 2 1
Direct
0.0000 0.0000 0.0000
0.0000 0.5000 0.3589
0.5000 0.5000 0.0000
0.5000 0.0000 0.6411
0.5000 0.0000 0.8737
0.0000 0.0000 0.5000
0.0000 0.5000 0.1263
0.5000 0.0000 0.2380
0.0000 0.5000 0.7620
0.5000 0.5000 0.5000
```

E in eV per atom: -4.45
Energy relative to the elements in meV per atom: -703
Total magnetic moment in μB per cell: 0.00